## 1
The following is a DFT calculation (GGA-PBE) of LaLuCd2 after structural relaxation.

Unit cell a=5.3988 b=5.3988 c=5.3988 alpha=60.00 beta=60.00 gamma=60.00
Atoms (fractional coordinates):
Cd 0.2500 0.2500 0.2500
Cd 0.7500 0.7500 0.7500
Lu 0.0000 0.0000 0.0000
La 0.5000 0.5000 0.5000

## Properties
Spin magnetization = 0.00 μB per formula unit
N(E_F) = 4.27 states/eV/cell

***

## 2
The following is a DFT calculation (GGA-PBE) of LaLuCd2 after structural relaxation.

Unit cell a=3.8530 b=5.3701 c=5.3701 alpha=90.00 beta=90.00 gamma=90.00
Atoms (fractional coordinates):
Cd 0.0000 0.0000 0.5000
Cd 0.0000 0.5000 0.0000
Lu 0.5000 0.5000 0.5000
La 0.5000 0.0000 0.0000

## Properties
Spin magnetization = 0.12 μB per formula unit
N(E_F) = 4.63 states/eV/cell

***

## 3
The following is a DFT calculation (GGA-PBE) of LaLuCd2 after structural relaxation.

Unit cell a=3.7108 b=3.7108 c=7.9686 alpha=90.00 beta=90.00 gamma=90.00
Site moments in Bohr magnetons follow the coordinates.
Atoms (fractional coordinates):
Lu 0.5000 0.5000 0.0000  0.02
La 0.5000 0.5000 0.5000  0.15
Cd 0.0000 0.0000 0.7793  0.00
Cd 0.0000 0.0000 0.2207  0.00

## Properties
Spin magnetization = 0.36 μB per formula unit
N(E_F) = 3.33 states/eV/cell

***

Which structure wins on stability? 3 wins.

***

## 1
The following is a DFT calculation (GGA-PBE) of LaMg14Cd after structural relaxation.

Unit cell a=6.5578 b=6.5578 c=10.3773 alpha=90.00 beta=90.00 gamma=120.00
Atoms (fractional coordinates):
La 0.0000 0.0000 0.0000
Mg 0.0158 0.5079 0.0000
Mg 0.9942 0.4971 0.5000
Mg 0.4921 0.9842 0.0000
Mg 0.5029 0.0058 0.5000
Mg 0.4921 0.5079 0.0000
Mg 0.5029 0.4971 0.5000
Mg 0.1675 0.8325 0.2573
Mg 0.1675 0.8325 0.7427
Mg 0.1675 0.3350 0.2573
Mg 0.1675 0.3350 0.7427
Mg 0.6650 0.8325 0.2573
Mg 0.6650 0.8325 0.7427
Mg 0.6667 0.3333 0.2353
Mg 0.6667 0.3333 0.7647
Cd 0.0000 0.0000 0.5000

## Properties
Spin magnetization = 0.00 μB per formula unit
N(E_F) = 7.53 states/eV/cell

***

## 2
The following is a DFT calculation (GGA-PBE) of LaMg14Cd after structural relaxation.

Unit cell a=6.6165 b=6.6165 c=10.3315 alpha=90.00 beta=90.00 gamma=121.15
Atoms (fractional coordinates):
La 0.8235 0.1765 0.5000
Mg 0.8333 0.1667 0.0000
Mg 0.3323 0.6677 0.0000
Mg 0.3304 0.1861 0.5000
Mg 0.3283 0.1590 0.0000
Mg 0.8139 0.6696 0.5000
Mg 0.8410 0.6717 0.0000
Mg 0.1695 0.3299 0.2445
Mg 0.1695 0.3299 0.7555
Mg 0.6701 0.8305 0.2445
Mg 0.6701 0.8305 0.7555
Mg 0.6645 0.3355 0.2406
Mg 0.6645 0.3355 0.7594
Mg 0.1726 0.8274 0.2669
Mg 0.1726 0.8274 0.7331
Cd 0.3438 0.6562 0.5000

## Properties
Spin magnetization = 0.00 μB per formula unit
N(E_F) = 6.96 states/eV/cell

***

Which structure wins on stability? 2 wins.

***

## 1
The following is a DFT calculation (GGA-PBE) of LaMg3Cd2 after structural relaxation.

Unit cell a=4.8096 b=10.4957 c=10.4957 alpha=120.00 beta=90.00 gamma=90.00
Atoms (fractional coordinates):
La 0.5000 0.0000 0.0000
La 0.0000 0.6667 0.3333
La 0.0000 0.3333 0.6667
Mg 0.5000 0.5000 0.5000
Mg 0.5000 0.0000 0.5000
Mg 0.5000 0.5000 0.0000
Mg 0.0000 0.7030 0.7030
Mg 0.0000 0.0000 0.2970
Mg 0.0000 0.2970 0.0000
Mg 0.0000 0.2970 0.2970
Mg 0.0000 0.0000 0.7030
Mg 0.0000 0.7030 0.0000
Cd 0.5000 0.8104 0.1896
Cd 0.5000 0.3793 0.1896
Cd 0.5000 0.8104 0.6207
Cd 0.5000 0.1896 0.8104
Cd 0.5000 0.6207 0.8104
Cd 0.5000 0.1896 0.3793

## Properties
Spin magnetization = 0.00 μB per formula unit
N(E_F) = 12.27 states/eV/cell

***

## 2
The following is a DFT calculation (GGA-PBE) of LaMg3Cd2 after structural relaxation.

Unit cell a=4.9975 b=4.9975 c=13.9736 alpha=90.00 beta=90.00 gamma=120.00
Atoms (fractional coordinates):
La 0.0000 0.0000 0.2500
La 0.0000 0.0000 0.7500
Mg 0.0000 0.0000 0.5000
Mg 0.0000 0.0000 0.0000
Mg 0.6667 0.3333 0.5985
Mg 0.3333 0.6667 0.0985
Mg 0.6667 0.3333 0.9015
Mg 0.3333 0.6667 0.4015
Cd 0.6667 0.3333 0.3728
Cd 0.3333 0.6667 0.6272
Cd 0.3333 0.6667 0.8728
Cd 0.6667 0.3333 0.1272

## Properties
Spin magnetization = 0.00 μB per formula unit
N(E_F) = 8.23 states/eV/cell

***

Which structure wins on stability? 2 wins.

***

## 1
The following is a DFT calculation (GGA-PBE) of LaMgCd3 after structural relaxation.

Unit cell a=6.1386 b=6.1386 c=6.1386 alpha=90.00 beta=90.00 gamma=90.00
Site moments in Bohr magnetons follow the coordinates.
Atoms (fractional coordinates):
Mg 0.5000 0.5000 0.5000  0.00
Cd 0.0000 0.5000 0.0000  -0.01
Cd 0.0000 0.0000 0.5000  0.00
Cd 0.5000 0.0000 0.0000  -0.02
La 0.0000 0.0000 0.0000  -0.09

## Properties
Spin magnetization = 0.25 μB per formula unit
N(E_F) = 6.48 states/eV/cell

***

## 2
The following is a DFT calculation (GGA-PBE) of LaMgCd3 after structural relaxation.

Unit cell a=5.2020 b=5.2020 c=5.2020 alpha=90.00 beta=90.00 gamma=90.00
Atoms (fractional coordinates):
Mg 0.0000 0.0000 0.0000
Cd 0.0000 0.5000 0.0000
Cd 0.0000 0.0000 0.5000
Cd 0.5000 0.0000 0.0000
La 0.5000 0.5000 0.5000

## Properties
Spin magnetization = 0.00 μB per formula unit
N(E_F) = 3.04 states/eV/cell

***

## 3
The following is a DFT calculation (GGA-PBE) of LaMgCd3 after structural relaxation.

Unit cell a=6.0649 b=7.0573 c=7.0552 alpha=120.01 beta=90.00 gamma=90.00
Atoms (fractional coordinates):
La 0.7499 0.6667 0.3336
La 0.2501 0.3330 0.6662
Mg 0.0000 0.0001 0.0001
Mg 0.5000 0.0001 0.0001
Cd 0.7500 0.6090 0.8047
Cd 0.2500 0.8045 0.6090
Cd 0.2499 0.3911 0.1954
Cd 0.7501 0.1955 0.3911
Cd 0.2499 0.8043 0.1953
Cd 0.7501 0.1956 0.8046

## Properties
Spin magnetization = 0.00 μB per formula unit
N(E_F) = 4.44 states/eV/cell

***

Which structure wins on stability? 3 wins.

***

## 1
The following is a DFT calculation (GGA-PBE) of LaMg2Cd9 after structural relaxation.

Unit cell a=3.3058 b=9.9784 c=9.9784 alpha=120.00 beta=90.00 gamma=90.00
Site moments in Bohr magnetons follow the coordinates.
Atoms (fractional coordinates):
La 0.0000 0.0000 0.0000  0.12
Mg 0.0000 0.6667 0.3333  0.00
Mg 0.0000 0.3333 0.6667  0.00
Cd 0.5000 0.8213 0.1787  0.00
Cd 0.0000 0.0000 0.5000  0.00
Cd 0.0000 0.5000 0.5000  0.00
Cd 0.5000 0.8213 0.6426  0.00
Cd 0.5000 0.1787 0.8213  0.00
Cd 0.5000 0.6426 0.8213  0.00
Cd 0.5000 0.1787 0.3574  0.00
Cd 0.0000 0.5000 0.0000  0.00
Cd 0.5000 0.3574 0.1787  0.00

## Properties
Spin magnetization = 0.24 μB per formula unit
N(E_F) = 4.79 states/eV/cell

***

## 2
The following is a DFT calculation (GGA-PBE) of LaMg2Cd9 after structural relaxation.

Unit cell a=7.8007 b=9.2921 c=9.2921 alpha=79.85 beta=65.18 gamma=65.18
Atoms (fractional coordinates):
La 0.5000 0.0000 0.0000
La 0.2500 0.5000 0.5000
Mg 0.8750 0.2500 0.7500
Mg 0.8750 0.7500 0.2500
Mg 0.8750 0.2500 0.2500
Mg 0.3750 0.7500 0.7500
Cd 0.7500 0.5000 0.5000
Cd 0.0000 0.0000 0.0000
Cd 0.0025 0.9168 0.6756
Cd 0.5950 0.0832 0.3244
Cd 0.6694 0.1756 0.5832
Cd 0.4282 0.8244 0.4168
Cd 0.7475 0.8244 0.5832
Cd 0.1550 0.1756 0.4168
Cd 0.0806 0.9168 0.3244
Cd 0.3218 0.0832 0.6756
Cd 0.7475 0.5832 0.8244
Cd 0.1550 0.4168 0.1756
Cd 0.0806 0.3244 0.9168
Cd 0.3218 0.6756 0.0832
Cd 0.0025 0.6756 0.9168
Cd 0.5950 0.3244 0.0832
Cd 0.6694 0.5832 0.1756
Cd 0.4282 0.4168 0.8244

## Properties
Spin magnetization = 0.00 μB per formula unit
N(E_F) = 7.46 states/eV/cell

***

Which structure wins on stability? 2 wins.

***

## 1
The following is a DFT calculation (GGA-PBE) of La6Mg2Cd after structural relaxation.

Unit cell a=5.3343 b=10.5718 c=10.5678 alpha=90.00 beta=90.00 gamma=90.00
Atoms (fractional coordinates):
La 0.0004 0.0138 0.1733
La 0.9998 0.6735 0.5138
La 0.0002 0.6344 0.8655
La 0.4998 0.1344 0.6345
La 0.5002 0.1735 0.9862
La 0.4996 0.5138 0.3267
La 0.9996 0.9862 0.8267
La 0.0002 0.3265 0.4862
La 0.9998 0.3656 0.1345
La 0.5002 0.8656 0.3655
La 0.4998 0.8265 0.0138
La 0.5004 0.4862 0.6733
Mg 0.0004 0.3088 0.8088
Mg 0.4996 0.8088 0.6912
Mg 0.5004 0.1912 0.3088
Mg 0.9996 0.6912 0.1912
Cd 0.5000 0.5000 0.0000
Cd 0.0000 0.0000 0.5000

## Properties
Spin magnetization = 0.00 μB per formula unit
N(E_F) = 26.51 states/eV/cell

***

## 2
The following is a DFT calculation (GGA-PBE) of La6Mg2Cd after structural relaxation.

Unit cell a=5.5534 b=7.0233 c=8.7788 alpha=82.82 beta=71.56 gamma=66.71
Site moments in Bohr magnetons follow the coordinates.
Atoms (fractional coordinates):
La 0.9904 0.1888 0.8304  0.11
La 0.3208 0.1890 0.1695  0.11
La 0.6792 0.8110 0.8305  0.11
La 0.3487 0.8027 0.5000  0.12
La 0.6513 0.1973 0.5000  0.12
La 0.0096 0.8112 0.1696  0.11
Mg 0.3295 0.5000 0.8411  -0.01
Mg 0.6705 0.5000 0.1589  -0.01
Cd 0.0000 0.5000 0.5000  -0.01

## Properties
Spin magnetization = 1.50 μB per formula unit
N(E_F) = 9.90 states/eV/cell

***

Which structure wins on stability? 2 wins.

***

## 1
The following is a DFT calculation (GGA-PBE) of La3MgCd2 after structural relaxation.

Unit cell a=3.9533 b=3.9533 c=11.7847 alpha=90.00 beta=90.00 gamma=90.00
Site moments in Bohr magnetons follow the coordinates.
Atoms (fractional coordinates):
La 0.0000 0.0000 0.0000  0.13
La 0.0000 0.0000 0.6672  0.03
La 0.0000 0.0000 0.3328  0.03
Mg 0.5000 0.5000 0.5000  0.00
Cd 0.5000 0.5000 0.8302  0.01
Cd 0.5000 0.5000 0.1698  0.01

## Properties
Spin magnetization = 0.50 μB per formula unit
N(E_F) = 8.28 states/eV/cell

***

## 2
The following is a DFT calculation (GGA-PBE) of La3MgCd2 after structural relaxation.

Unit cell a=3.9544 b=5.5516 c=8.8187 alpha=108.35 beta=90.00 gamma=90.00
Atoms (fractional coordinates):
La 0.5000 0.5000 0.0000
La 0.5000 0.8313 0.6626
La 0.5000 0.1687 0.3374
Mg 0.0000 0.0000 0.0000
Cd 0.0000 0.3391 0.6783
Cd 0.0000 0.6609 0.3217

## Properties
Spin magnetization = 0.00 μB per formula unit
N(E_F) = 7.31 states/eV/cell

***

Which structure wins on stability? 2 wins.

***

## 1
The following is a DFT calculation (GGA-PBE) of LaMg2Cd3 after structural relaxation.

Unit cell a=6.2327 b=7.0631 c=7.0631 alpha=100.20 beta=90.00 gamma=90.00
Atoms (fractional coordinates):
La 0.2500 0.3392 0.3392
La 0.7500 0.6608 0.6608
Mg 0.5000 0.7773 0.2227
Mg 0.0000 0.7773 0.2227
Mg 0.0000 0.2227 0.7773
Mg 0.5000 0.2227 0.7773
Cd 0.7500 0.4374 0.1437
Cd 0.7500 0.1437 0.4374
Cd 0.2500 0.5626 0.8563
Cd 0.7500 0.0264 0.0264
Cd 0.2500 0.9736 0.9736
Cd 0.2500 0.8563 0.5626

## Properties
Spin magnetization = 0.00 μB per formula unit
N(E_F) = 6.77 states/eV/cell

***

## 2
The following is a DFT calculation (GGA-PBE) of LaMg2Cd3 after structural relaxation.

Unit cell a=4.9831 b=4.9831 c=13.9341 alpha=90.00 beta=90.00 gamma=120.00
Atoms (fractional coordinates):
La 0.0000 0.0000 0.2500
La 0.0000 0.0000 0.7500
Mg 0.6667 0.3333 0.4097
Mg 0.3333 0.6667 0.5903
Mg 0.3333 0.6667 0.9097
Mg 0.6667 0.3333 0.0903
Cd 0.0000 0.0000 0.5000
Cd 0.0000 0.0000 0.0000
Cd 0.6667 0.3333 0.6324
Cd 0.3333 0.6667 0.1324
Cd 0.6667 0.3333 0.8676
Cd 0.3333 0.6667 0.3676

## Properties
Spin magnetization = 0.00 μB per formula unit
N(E_F) = 7.91 states/eV/cell

***

Which structure wins on stability? 2 wins.

***

## 1
The following is a DFT calculation (GGA-PBE) of LaMgCd4 after structural relaxation.

Unit cell a=4.7293 b=8.0981 c=7.9047 alpha=90.00 beta=90.00 gamma=90.00
Atoms (fractional coordinates):
La 0.0000 0.6400 0.7500
La 0.0000 0.3600 0.2500
Mg 0.0000 0.2374 0.7500
Mg 0.0000 0.7626 0.2500
Cd 0.0000 0.0000 0.5000
Cd 0.0000 0.0000 0.0000
Cd 0.5000 0.9380 0.7500
Cd 0.5000 0.0620 0.2500
Cd 0.5000 0.6765 0.0550
Cd 0.5000 0.3235 0.9450
Cd 0.5000 0.6765 0.4450
Cd 0.5000 0.3235 0.5550

## Properties
Spin magnetization = 0.00 μB per formula unit
N(E_F) = 6.01 states/eV/cell

***

## 2
The following is a DFT calculation (GGA-PBE) of LaMgCd4 after structural relaxation.

Unit cell a=4.9786 b=4.9788 c=6.9966 alpha=90.08 beta=89.99 gamma=120.00
Atoms (fractional coordinates):
La 0.0041 0.4994 0.4981
Mg 0.0036 0.4995 0.9981
Cd 0.6705 0.8319 0.2326
Cd 0.3377 0.1670 0.7637
Cd 0.6710 0.8336 0.7636
Cd 0.3371 0.1652 0.2327

## Properties
Spin magnetization = 0.00 μB per formula unit
N(E_F) = 2.92 states/eV/cell

***

## 3
The following is a DFT calculation (GGA-PBE) of LaMgCd4 after structural relaxation.

Unit cell a=5.9635 b=5.9635 c=5.9635 alpha=60.00 beta=60.00 gamma=60.00
Atoms (fractional coordinates):
Cd 0.6249 0.1254 0.6249
Cd 0.1254 0.6249 0.6249
Cd 0.6249 0.6249 0.6249
Cd 0.6249 0.6249 0.1254
La 0.2500 0.2500 0.2500
Mg 0.0000 0.0000 0.0000

## Properties
Spin magnetization = 0.00 μB per formula unit
N(E_F) = 2.38 states/eV/cell

***

Which structure wins on stability? 2 wins.